VASP calculation (GGA+U) on BaMgVF6 after structural relaxation.

a = 5.5145 Å, b = 5.5145 Å, c = 11.1593 Å
α = 90.00°, β = 90.00°, γ = 120.00°
Atoms (fractional coordinates):
Ba: 0.0000 0.0000 0.0000
Ba: 0.0000 0.0000 0.5000
Mg: 0.3333 0.6667 0.2500
Mg: 0.6667 0.3333 0.7500
V: 0.3333 0.6667 0.7500
V: 0.6667 0.3333 0.2500
F: 0.0139 0.3784 0.1491
F: 0.0139 0.6355 0.3509
F: 0.3645 0.3784 0.3509
F: 0.3645 0.9861 0.1491
F: 0.3784 0.0139 0.6491
F: 0.3784 0.3645 0.8509
F: 0.6216 0.6355 0.1491
F: 0.6216 0.9861 0.3509
F: 0.6355 0.0139 0.8509
F: 0.6355 0.6216 0.6491
F: 0.9861 0.3645 0.6491
F: 0.9861 0.6216 0.8509

## Properties
crystal system	trigonal
E_tot	-5.8308	eV/atom
theoretical density	3690	kg/m³
space group	P-31c, No. 163
D(E_F)	0.0	states/eV/f.u.